4
Lattice="-0.498 -2.693 -5.191 2.791 -3.120 -4.114 -1.439 -3.911 2.844" Properties=species:S:1:pos:R:3 comment="Y2CrBr (PBE-GGA, optimized geometry)" magnetic_moment_mub_per_atom=0.749 raw_formation_energy_ev_per_atom=-0.155 final_energy_ev_per_cell=-24.84 pbc="T T T"
Br 0.238 -4.990 -2.703
Cr 0.410 -2.232 -2.137
Y -0.103 -0.512 0.112
Y 0.736 -6.853 -4.963


8
Lattice="10.566 0.000 0.000 0.000 10.566 0.000 5.283 5.283 2.609" Properties=species:S:1:pos:R:3 comment="MnHg2Bi (PBE-GGA, optimized geometry)" magnetic_moment_mub_per_atom=0.793 formation_energy_ev_per_fu=1.761 final_energy_ev_per_cell=-23.79 pbc="T T T"
Mn 5.283 5.283 0.000
Mn 5.283 10.566 1.304
Bi 0.000 0.000 0.000
Bi 10.566 5.283 1.304
Hg 5.303 2.641 0.652
Hg 5.263 7.924 0.652
Hg 7.924 10.546 1.956
Hg 13.207 10.586 1.956


Number 1: theoretical density 5.257 g/cm³. Number 2: theoretical density 7.585 g/cm³.